# 1
Entry from Alexandria: Ca2Ti2Ir after structural relaxation (PBE).

Its space group is I4/mmm (139). The energy of formation is 0.29 eV/atom. As for the total magnetization: 0.0 μB/f.u. As for the excess energy over the best structure of this formula in the dataset: 0 meV per atom.

```
10
Lattice="3.485 0.000 0.000 0.000 3.485 0.000 0.000 0.000 19.499" Properties=species:S:1:pos:R:3 pbc="T T T"
Ca 0.000 0.000 1.686
Ca 0.000 0.000 17.813
Ca 1.743 1.743 8.063
Ca 1.743 1.743 11.436
Ti 0.000 1.743 4.875
Ti 0.000 1.743 14.624
Ti 1.743 0.000 4.875
Ti 1.743 0.000 14.624
Ir 0.000 0.000 9.749
Ir 1.743 1.743 0.000
```

=====

# 2
Entry from Alexandria: CaTiIr2 after structural relaxation (PBE).

Its space group is P4/mmm (123). The energy of formation is -0.63 eV/atom. As for the total magnetization: 0.0 μB/f.u. As for the excess energy over the best structure of this formula in the dataset: 0 meV per atom.

```
4
Lattice="3.090 0.000 0.000 0.000 3.090 0.000 0.000 0.000 7.281" Properties=species:S:1:pos:R:3 pbc="T T T"
Ca 0.000 0.000 0.000
Ti 0.000 0.000 3.640
Ir 1.545 1.545 2.140
Ir 1.545 1.545 5.141
```

=====

# 3
Entry from Alexandria: Ca3TiIr after structural relaxation (PBE).

Its space group is Pm-3m (221). The energy of formation is 1.35 eV/atom. As for the total magnetization: 4.8 μB/f.u. As for the excess energy over the best structure of this formula in the dataset: 988 meV per atom.

```
5
Lattice="5.375 0.000 0.000 0.000 5.375 0.000 0.000 0.000 5.375" Properties=species:S:1:pos:R:3 pbc="T T T"
Ca 0.000 0.000 2.687
Ca 0.000 2.687 0.000
Ca 2.687 0.000 0.000
Ti 0.000 0.000 0.000
Ir 2.687 2.687 2.687
```

=====

# 4
Entry from Alexandria: Ca2TiIr after structural relaxation (PBE).

Its space group is Fm-3m (225). The energy of formation is 0.41 eV/atom. As for the total magnetization: 0.0 μB/f.u. As for the excess energy over the best structure of this formula in the dataset: 255 meV per atom.

```
16
Lattice="7.065 0.000 0.000 0.000 7.065 0.000 0.000 0.000 7.065" Properties=species:S:1:pos:R:3 pbc="T T T"
Ca 1.766 1.766 1.766
Ca 1.766 1.766 5.299
Ca 1.766 5.299 1.766
Ca 1.766 5.299 5.299
Ca 5.299 1.766 1.766
Ca 5.299 1.766 5.299
Ca 5.299 5.299 1.766
Ca 5.299 5.299 5.299
Ti 0.000 0.000 0.000
Ti 0.000 3.533 3.533
Ti 3.533 0.000 3.533
Ti 3.533 3.533 0.000
Ir 0.000 0.000 3.533
Ir 0.000 3.533 0.000
Ir 3.533 0.000 0.000
Ir 3.533 3.533 3.533
```

=====

# 5
Entry from Alexandria: CaTiIr2 after structural relaxation (PBE).

Its space group is Fm-3m (225). The energy of formation is -0.40 eV/atom. As for the total magnetization: 0.0 μB/f.u. As for the excess energy over the best structure of this formula in the dataset: 235 meV per atom.

```
16
Lattice="6.465 0.000 0.000 0.000 6.465 0.000 0.000 0.000 6.465" Properties=species:S:1:pos:R:3 pbc="T T T"
Ca 0.000 0.000 0.000
Ca 0.000 3.233 3.233
Ca 3.233 0.000 3.233
Ca 3.233 3.233 0.000
Ti 0.000 0.000 3.233
Ti 0.000 3.233 0.000
Ti 3.233 0.000 0.000
Ti 3.233 3.233 3.233
Ir 1.616 1.616 1.616
Ir 1.616 1.616 4.849
Ir 1.616 4.849 1.616
Ir 1.616 4.849 4.849
Ir 4.849 1.616 1.616
Ir 4.849 1.616 4.849
Ir 4.849 4.849 1.616
Ir 4.849 4.849 4.849
```

=====

# 6
Entry from Alexandria: Ca2TiIr2 after structural relaxation (PBE).

Its space group is P4/mbm (127). The energy of formation is -0.38 eV/atom. As for the total magnetization: 0.0 μB/f.u.

```
10
Lattice="6.698 0.000 0.000 0.000 6.698 0.000 0.000 0.000 4.722" Properties=species:S:1:pos:R:3 pbc="T T T"
Ca 1.165 2.184 0.000
Ca 2.184 5.533 0.000
Ca 4.514 1.165 0.000
Ca 5.533 4.514 0.000
Ti 0.000 0.000 2.361
Ti 3.349 3.349 2.361
Ir 0.890 4.239 2.361
Ir 2.458 0.890 2.361
Ir 4.239 5.807 2.361
Ir 5.807 2.458 2.361
```

=====

# 7
Entry from Alexandria: CaTiIr2 after structural relaxation (PBE).

Its space group is I-42d (122). The energy of formation is -0.13 eV/atom. As for the total magnetization: 0.0 μB/f.u. As for the excess energy over the best structure of this formula in the dataset: 505 meV per atom.

```
16
Lattice="7.220 0.000 0.000 0.000 7.220 0.000 0.000 0.000 5.834" Properties=species:S:1:pos:R:3 pbc="T T T"
Ca 0.000 0.000 0.000
Ca 0.000 3.610 1.459
Ca 3.610 0.000 4.376
Ca 3.610 3.610 2.917
Ti 0.000 0.000 2.917
Ti 0.000 3.610 4.376
Ti 3.610 0.000 1.459
Ti 3.610 3.610 0.000
Ir 1.484 1.805 3.646
Ir 1.805 5.094 5.105
Ir 1.805 5.736 2.188
Ir 2.126 1.805 0.729
Ir 5.094 5.415 0.729
Ir 5.415 1.484 2.188
Ir 5.415 2.126 5.105
Ir 5.736 5.415 3.646
```

=====

# 8
Entry from Alexandria: CaTiIrW2 after structural relaxation (PBE).

Its space group is P4/mmm (123). The energy of formation is 1.02 eV/atom. As for the total magnetization: 1.0 μB/f.u.

```
5
Lattice="4.884 0.000 0.000 0.000 4.884 0.000 0.000 0.000 4.789" Properties=species:S:1:pos:R:3 pbc="T T T"
Ca 0.000 0.000 0.000
Ti 2.442 2.442 0.000
Ir 2.442 2.442 2.395
W 0.000 2.442 2.395
W 2.442 0.000 2.395
```

=====

# 9
Entry from Alexandria: CaZr2TiIr after structural relaxation (PBE).

Its space group is P4/mmm (123). The energy of formation is 0.42 eV/atom. As for the total magnetization: 2.7 μB/f.u.

```
5
Lattice="5.073 0.000 0.000 0.000 5.073 0.000 0.000 0.000 5.381" Properties=species:S:1:pos:R:3 pbc="T T T"
Ca 0.000 0.000 0.000
Zr 0.000 2.536 2.691
Zr 2.536 0.000 2.691
Ti 2.536 2.536 0.000
Ir 0.000 0.000 2.691
```

=====

# 10
Entry from Alexandria: Ca3TlIr after structural relaxation (PBE).

Its space group is Pm-3m (221). The energy of formation is -0.24 eV/atom. As for the total magnetization: 0.0 μB/f.u. As for the excess energy over the best structure of this formula in the dataset: 103 meV per atom.

```
5
Lattice="5.493 0.000 0.000 0.000 5.493 0.000 0.000 0.000 5.493" Properties=species:S:1:pos:R:3 pbc="T T T"
Ca 0.000 0.000 2.746
Ca 0.000 2.746 0.000
Ca 2.746 0.000 0.000
Tl 2.746 2.746 2.746
Ir 0.000 0.000 0.000
```

=====

# 11
Entry from Alexandria: CaTl4Ir after structural relaxation (PBE).

Its space group is F-43m (216). The energy of formation is 0.48 eV/atom. As for the total magnetization: 0.0 μB/f.u.

```
6
Lattice="0.000 4.324 4.324 4.324 0.000 4.324 4.324 4.324 0.000" Properties=species:S:1:pos:R:3 pbc="T T T"
Ca 0.000 0.000 0.000
Tl 3.251 3.251 3.251
Tl 5.397 5.397 3.251
Tl 5.397 3.251 5.397
Tl 3.251 5.397 5.397
Ir 6.486 6.486 6.486
```

=====

# 12
Entry from Alexandria: CaTlIr after structural relaxation (PBE).

Its space group is F-43m (216). The energy of formation is -0.09 eV/atom. As for the total magnetization: 0.0 μB/f.u.

```
12
Lattice="6.706 0.000 0.000 0.000 6.706 0.000 0.000 0.000 6.706" Properties=species:S:1:pos:R:3 pbc="T T T"
Ca 0.000 0.000 0.000
Ca 0.000 3.353 3.353
Ca 3.353 0.000 3.353
Ca 3.353 3.353 0.000
Tl 0.000 0.000 3.353
Tl 0.000 3.353 0.000
Tl 3.353 0.000 0.000
Tl 3.353 3.353 3.353
Ir 1.676 1.676 5.029
Ir 1.676 5.029 1.676
Ir 5.029 1.676 1.676
Ir 5.029 5.029 5.029
```

=====

# 13
Entry from Alexandria: CaTl2Ir2 after structural relaxation (PBE).

Its space group is I4/mmm (139). The energy of formation is 0.05 eV/atom. As for the total magnetization: 0.0 μB/f.u. As for the excess energy over the best structure of this formula in the dataset: 0 meV per atom.

```
10
Lattice="4.559 0.000 0.000 0.000 4.559 0.000 0.000 0.000 11.240" Properties=species:S:1:pos:R:3 pbc="T T T"
Ca 0.000 0.000 0.000
Ca 2.279 2.279 5.620
Tl 0.000 2.279 2.810
Tl 0.000 2.279 8.430
Tl 2.279 0.000 2.810
Tl 2.279 0.000 8.430
Ir 0.000 0.000 4.417
Ir 0.000 0.000 6.823
Ir 2.279 2.279 1.203
Ir 2.279 2.279 10.037
```

=====

# 14
Entry from Alexandria: CaTl2Ir2 after structural relaxation (PBE).

Its space group is P4/mbm (127). The energy of formation is 0.12 eV/atom. As for the total magnetization: 0.0 μB/f.u. As for the excess energy over the best structure of this formula in the dataset: 73 meV per atom.

```
10
Lattice="7.914 0.000 0.000 0.000 7.914 0.000 0.000 0.000 3.279" Properties=species:S:1:pos:R:3 pbc="T T T"
Ca 0.000 0.000 0.000
Ca 3.957 3.957 0.000
Tl 1.284 2.673 1.640
Tl 2.673 6.630 1.640
Tl 5.241 1.284 1.640
Tl 6.630 5.241 1.640
Ir 1.061 5.018 0.000
Ir 2.896 1.061 0.000
Ir 5.018 6.853 0.000
Ir 6.853 2.896 0.000
```

=====

# 15
Entry from Alexandria: Ca2Tl2Ir after structural relaxation (PBE).

Its space group is P4/mbm (127). The energy of formation is -0.07 eV/atom. As for the total magnetization: 0.0 μB/f.u.

```
10
Lattice="7.297 0.000 0.000 0.000 7.297 0.000 0.000 0.000 4.917" Properties=species:S:1:pos:R:3 pbc="T T T"
Ca 1.292 2.357 0.000
Ca 2.357 6.005 0.000
Ca 4.940 1.292 0.000
Ca 6.005 4.940 0.000
Tl 1.053 4.702 2.459
Tl 2.595 1.053 2.459
Tl 4.702 6.244 2.459
Tl 6.244 2.595 2.459
Ir 0.000 0.000 2.459
Ir 3.648 3.648 2.459
```

=====

# 16
Entry from Alexandria: CaTlIr3 after structural relaxation (PBE).

Its space group is Pm-3m (221). The energy of formation is 1.51 eV/atom. As for the total magnetization: 1.7 μB/f.u. As for the excess energy over the best structure of this formula in the dataset: 0 meV per atom.

```
5
Lattice="5.013 0.000 0.000 0.000 5.013 0.000 0.000 0.000 5.013" Properties=species:S:1:pos:R:3 pbc="T T T"
Ca 0.000 0.000 0.000
Tl 2.506 2.506 2.506
Ir 0.000 2.506 2.506
Ir 2.506 0.000 2.506
Ir 2.506 2.506 0.000
```

=====

# 17
Entry from Alexandria: CaTl3Ir after structural relaxation (PBE).

Its space group is Pm-3m (221). The energy of formation is 0.11 eV/atom. As for the total magnetization: 0.0 μB/f.u. As for the excess energy over the best structure of this formula in the dataset: 0 meV per atom.

```
5
Lattice="5.313 0.000 0.000 0.000 5.313 0.000 0.000 0.000 5.313" Properties=species:S:1:pos:R:3 pbc="T T T"
Ca 0.000 0.000 0.000
Tl 0.000 2.657 2.657
Tl 2.657 0.000 2.657
Tl 2.657 2.657 0.000
Ir 2.657 2.657 2.657
```

=====

# 18
Entry from Alexandria: Ca3TlIr after structural relaxation (PBE).

Its space group is Fmmm (69). The energy of formation is -0.34 eV/atom. As for the total magnetization: 0.0 μB/f.u. As for the excess energy over the best structure of this formula in the dataset: 0 meV per atom.

```
10
Lattice="0.000 4.974 8.449 3.293 0.000 8.449 3.293 4.974 0.000" Properties=species:S:1:pos:R:3 pbc="T T T"
Ca 3.293 3.049 6.520
Ca 3.293 4.974 3.440
Ca 3.293 3.049 10.377
Ca 3.293 6.899 6.520
Ca 3.293 4.974 13.457
Ca 3.293 6.899 10.377
Tl 5.133 4.974 8.449
Tl 1.454 4.974 8.449
Ir 1.647 2.487 4.224
Ir 4.940 7.460 12.673
```

=====

# 19
Entry from Alexandria: CaTlIr after structural relaxation (PBE).

Its space group is P-6m2 (187). The energy of formation is -0.07 eV/atom. As for the total magnetization: 0.0 μB/f.u.

```
3
Lattice="4.772 0.000 0.000 -2.386 4.133 0.000 0.000 0.000 3.443" Properties=species:S:1:pos:R:3 pbc="T T T"
Ca 0.000 0.000 0.000
Tl 0.000 2.755 1.722
Ir 2.386 1.378 1.722
```

=====

# 20
Entry from Alexandria: CaTlIr3 after structural relaxation (PBE).

Its space group is Pm-3m (221). The energy of formation is 2.06 eV/atom. As for the total magnetization: 1.7 μB/f.u. As for the excess energy over the best structure of this formula in the dataset: 546 meV per atom.

```
5
Lattice="4.864 0.000 0.000 0.000 4.864 0.000 0.000 0.000 4.864" Properties=species:S:1:pos:R:3 pbc="T T T"
Ca 0.000 0.000 0.000
Tl 2.432 2.432 2.432
Ir 0.000 0.000 2.432
Ir 0.000 2.432 0.000
Ir 2.432 0.000 0.000
```

=====

# 21
Entry from Alexandria: CaTlIr after structural relaxation (PBE).

Its space group is F-43m (216). The energy of formation is 0.48 eV/atom. As for the total magnetization: 0.0 μB/f.u.

```
12
Lattice="6.783 0.000 0.000 0.000 6.783 0.000 0.000 0.000 6.783" Properties=species:S:1:pos:R:3 pbc="T T T"
Ca 0.000 0.000 0.000
Ca 0.000 3.392 3.392
Ca 3.392 0.000 3.392
Ca 3.392 3.392 0.000
Tl 1.696 1.696 5.088
Tl 1.696 5.088 1.696
Tl 5.088 1.696 1.696
Tl 5.088 5.088 5.088
Ir 1.696 1.696 1.696
Ir 1.696 5.088 5.088
Ir 5.088 1.696 5.088
Ir 5.088 5.088 1.696
```

=====

# 22
Entry from Alexandria: CaTl3Ir after structural relaxation (PBE).

Its space group is Pm-3m (221). The energy of formation is 1.45 eV/atom. As for the total magnetization: 1.0 μB/f.u. As for the excess energy over the best structure of this formula in the dataset: 1337 meV per atom.

```
5
Lattice="5.729 0.000 0.000 0.000 5.729 0.000 0.000 0.000 5.729" Properties=species:S:1:pos:R:3 pbc="T T T"
Ca 0.000 0.000 0.000
Tl 0.000 0.000 2.864
Tl 0.000 2.864 0.000
Tl 2.864 0.000 0.000
Ir 2.864 2.864 2.864
```

=====

# 23
Entry from Alexandria: CaTlIr after structural relaxation (PBE).

Its space group is P-1 (2). The energy of formation is -0.16 eV/atom. As for the total magnetization: 0.0 μB/f.u.

```
6
Lattice="5.235 0.000 0.000 -0.805 5.604 0.000 -0.821 -1.315 5.448" Properties=species:S:1:pos:R:3 pbc="T T T"
Ca -0.401 1.435 1.078
Ca 4.011 2.854 4.370
Tl 1.400 0.381 4.052
Tl 2.210 3.908 1.396
Ir -0.365 4.310 1.915
Ir 3.975 -0.021 3.533
```

=====

# 24
Entry from Alexandria: CaTlIr after structural relaxation (PBE).

Its space group is Imm2 (44). The energy of formation is -0.06 eV/atom. As for the total magnetization: 0.0 μB/f.u.

```
6
Lattice="3.433 0.000 0.000 0.000 3.459 0.000 0.000 0.000 11.270" Properties=species:S:1:pos:R:3 pbc="T T T"
Ca 0.000 0.000 0.000
Ca 1.717 1.729 5.635
Tl 0.000 0.000 3.288
Tl 1.717 1.729 8.923
Ir 0.000 0.000 7.385
Ir 1.717 1.729 1.750
```

=====

# 25
Entry from Alexandria: CaTmTlIr after structural relaxation (PBE).

Its space group is F-43m (216). The energy of formation is -0.36 eV/atom. As for the total magnetization: 0.0 μB/f.u.

```
16
Lattice="7.154 0.000 0.000 0.000 7.154 0.000 0.000 0.000 7.154" Properties=species:S:1:pos:R:3 pbc="T T T"
Ca 0.000 0.000 0.000
Ca 0.000 3.577 3.577
Ca 3.577 0.000 3.577
Ca 3.577 3.577 0.000
Tm 0.000 0.000 3.577
Tm 0.000 3.577 0.000
Tm 3.577 0.000 0.000
Tm 3.577 3.577 3.577
Tl 1.788 1.788 1.788
Tl 1.788 5.365 5.365
Tl 5.365 1.788 5.365
Tl 5.365 5.365 1.788
Ir 1.788 1.788 5.365
Ir 1.788 5.365 1.788
Ir 5.365 1.788 1.788
Ir 5.365 5.365 5.365
```

=====

# 26
Entry from Alexandria: Ca2TlVIr after structural relaxation (PBE).

Its space group is P4/mmm (123). The energy of formation is 0.10 eV/atom. As for the total magnetization: 2.7 μB/f.u.

```
5
Lattice="5.568 0.000 0.000 0.000 5.568 0.000 0.000 0.000 4.684" Properties=species:S:1:pos:R:3 pbc="T T T"
Ca 0.000 2.784 0.000
Ca 2.784 0.000 0.000
Tl 0.000 0.000 2.342
V 2.784 2.784 2.342
Ir 2.784 2.784 0.000
```

=====

# 27
Entry from Alexandria: CaYTlIr after structural relaxation (PBE).

Its space group is F-43m (216). The energy of formation is -0.36 eV/atom. As for the total magnetization: 0.0 μB/f.u.

```
16
Lattice="7.214 0.000 0.000 0.000 7.214 0.000 0.000 0.000 7.214" Properties=species:S:1:pos:R:3 pbc="T T T"
Ca 0.000 0.000 0.000
Ca 0.000 3.607 3.607
Ca 3.607 0.000 3.607
Ca 3.607 3.607 0.000
Y 0.000 0.000 3.607
Y 0.000 3.607 0.000
Y 3.607 0.000 0.000
Y 3.607 3.607 3.607
Tl 1.803 1.803 1.803
Tl 1.803 5.410 5.410
Tl 5.410 1.803 5.410
Tl 5.410 5.410 1.803
Ir 1.803 1.803 5.410
Ir 1.803 5.410 1.803
Ir 5.410 1.803 1.803
Ir 5.410 5.410 5.410
```

=====

# 28
Entry from Alexandria: CaTl2ZnIr after structural relaxation (PBE).

Its space group is P4/mmm (123). The energy of formation is 0.05 eV/atom. As for the total magnetization: 0.0 μB/f.u.

```
5
Lattice="5.292 0.000 0.000 0.000 5.292 0.000 0.000 0.000 5.453" Properties=species:S:1:pos:R:3 pbc="T T T"
Ca 0.000 0.000 0.000
Tl 0.000 2.646 2.727
Tl 2.646 0.000 2.727
Zn 2.646 2.646 0.000
Ir 0.000 0.000 2.727
```